## K3As2Pd3 (GGA-PBE)

Data for crystalline K3As2Pd3 at its relaxed geometry.

abc: 3.7374 6.3841 18.8434
angles: 90.00 90.00 107.02
Atoms (fractional coordinates):
K  0.6324  0.2649  0.0526
K  0.3676  0.7351  0.5526
K  0.6324  0.2649  0.4474
K  0.3676  0.7351  0.9474
K  0.5669  0.1338  0.2500
K  0.4331  0.8662  0.7500
As  0.6939  0.3879  0.6558
As  0.3061  0.6121  0.1558
As  0.6939  0.3879  0.8442
As  0.3061  0.6121  0.3442
Pd  0.9070  0.8140  0.1066
Pd  0.0930  0.1860  0.6066
Pd  0.9070  0.8140  0.3934
Pd  0.0930  0.1860  0.8934
Pd  0.8389  0.6779  0.2500
Pd  0.1611  0.3221  0.7500

Computed properties:
The value obtained for the energy of formation from the pure elements is -0.318 eV per atom.

***

## MnOs3Cl (GGA-PBE)

Data for crystalline MnOs3Cl at its relaxed geometry.

abc: 4.5128 4.5128 4.5128
angles: 90.00 90.00 90.00
Site moments in Bohr magnetons follow the coordinates.
Atoms (fractional coordinates):
Mn  0.0000  0.0000  0.0000  -0.22
Os  0.0000  0.5000  0.0000  1.07
Os  0.0000  0.0000  0.5000  1.00
Os  0.5000  0.0000  0.0000  0.86
Cl  0.5000  0.5000  0.5000  0.32

Computed properties:
The energy above the most stable polymorph in this dataset comes out at 140 kJ/mol of formula units. Its uncorrected formation energy is 2.14 eV per atom.

***

## Ba2FeRh (GGA-PBE)

Data for crystalline Ba2FeRh at its relaxed geometry.

abc: 5.2922 5.2922 5.2922
angles: 60.00 60.00 60.00
Site moments in Bohr magnetons follow the coordinates.
Atoms (fractional coordinates):
Ba  0.0000  0.0000  0.0000  -0.06
Ba  0.2500  0.2500  0.2500  -0.04
Fe  0.5000  0.5000  0.5000  2.98
Rh  0.7500  0.7500  0.7500  0.32

Computed properties:
The energy above the most stable polymorph in this dataset comes out at 178 kJ/mol of formula units. The value obtained for the energy of formation from the pure elements is 0.601 eV per atom.